# 1
Material: Zr2Pd
Method: DFT, GGA-PBEsol
State: relaxed

Values from the calculation:
The value obtained for the density of states at the Fermi level is 0.688 states/eV/atom. The value obtained for the final energy is -8.54 eV per atom. As for the formation energy: -0.49 eV per atom. For the total magnetization, the calculation gives 0.00 μB/f.u. The space group is I4/mmm (139).

abc: 5.7925 5.7925 5.7925
angles: 146.83 146.83 47.61
Positions (direct):
Pd: 0.0000 0.0000 0.0000
Zr: 0.6562 0.6562 0.0000
Zr: 0.3438 0.3438 0.0000

***

# 2
Material: AlNi2Sb
Method: DFT, GGA-PBEsol
State: relaxed

Values from the calculation:
The value obtained for the density of states at the Fermi level is 0.492 states/eV/atom. The uncorrected formation energy is -0.05 eV per atom. The value obtained for the final energy is -5.29 eV per atom. The value obtained for the energy above the most stable polymorph in this dataset is 192.2 meV per atom. For the total magnetization, the calculation gives 0.00 μB/f.u. The space group is R-3m (166).

abc: 2.9768 2.9768 7.8604
angles: 79.08 79.08 60.00
Positions (direct):
Sb: 0.5000 0.5000 0.5000
Al: 0.0000 0.0000 0.0000
Ni: 0.2541 0.2541 0.2378
Ni: 0.7459 0.7459 0.7622